LaTb3Ga4 (PBE, relaxed); space group = Pmma, No. 51; DFT formation energy = -4.6 eV per formula unit; N(E_F) = 6.91 states/eV/cell
1.0
10.2874 0.0000 0.0000
0.0000 7.2630 0.0000
0.0000 0.0000 5.1440
La Tb Ga
2 6 8
Direct
0.0000 0.0000 0.0000
0.5000 0.0000 0.0000
0.0000 0.5000 0.0000
0.2500 0.0000 0.4987
0.2500 0.5000 0.4984
0.5000 0.5000 0.0000
0.7500 0.0000 0.5013
0.7500 0.5000 0.5016
0.0000 0.2614 0.5000
0.0000 0.7386 0.5000
0.2500 0.2614 0.9979
0.2500 0.7386 0.9979
0.5000 0.2614 0.5000
0.5000 0.7386 0.5000
0.7500 0.2614 0.0021
0.7500 0.7386 0.0021